Hf2CuH2 | GGA-PBEsol | optimized geometry

The final energy is -6.7591 eV/atom. For the spin magnetization, the calculation gives 0.000 μB/atom. The space-group type is No. 139.

Cell and atoms, written as CIF:
```
data_Hf2CuH2
_cell_length_a 3.142
_cell_length_b 3.142
_cell_length_c 6.292
_cell_angle_alpha 104.46
_cell_angle_beta 104.46
_cell_angle_gamma 90.00
_space_group_name_H-M_alt 'P 1'
_space_group_IT_number 1
loop_
_space_group_symop_operation_xyz
'x,y,z'
loop_
_atom_site_label
_atom_site_type_symbol
_atom_site_fract_x
_atom_site_fract_y
_atom_site_fract_z
Hf1 Hf 0.362 0.362 0.724
Hf2 Hf 0.638 0.638 0.276
H1 H 0.750 0.250 0.500
H2 H 0.250 0.750 0.500
Cu1 Cu 0.000 0.000 0.000
```

Sr2HfCuH | GGA-PBEsol | optimized geometry

The final energy is -3.9892 eV/atom. For the spin magnetization, the calculation gives 0.000 μB/atom. The space-group type is No. 123.

Cell and atoms, written as CIF:
```
data_Sr2HfCuH
_cell_length_a 3.893
_cell_length_b 5.492
_cell_length_c 5.492
_cell_angle_alpha 90.00
_cell_angle_beta 90.00
_cell_angle_gamma 90.00
_space_group_name_H-M_alt 'P 1'
_space_group_IT_number 1
loop_
_space_group_symop_operation_xyz
'x,y,z'
loop_
_atom_site_label
_atom_site_type_symbol
_atom_site_fract_x
_atom_site_fract_y
_atom_site_fract_z
Sr1 Sr 0.000 0.500 0.000
Sr2 Sr 0.000 0.000 0.500
H1 H 0.000 0.000 0.000
Hf1 Hf 0.500 0.000 0.000
Cu1 Cu 0.500 0.500 0.500
```

Cu2HgH2 | GGA-PBEsol | optimized geometry

The final energy is -2.9882 eV/atom. For the spin magnetization, the calculation gives 0.000 μB/atom. The space-group type is No. 139.

Cell and atoms, written as CIF:
```
data_Cu2HgH2
_cell_length_a 3.419
_cell_length_b 3.419
_cell_length_c 5.549
_cell_angle_alpha 107.95
_cell_angle_beta 107.95
_cell_angle_gamma 90.00
_space_group_name_H-M_alt 'P 1'
_space_group_IT_number 1
loop_
_space_group_symop_operation_xyz
'x,y,z'
loop_
_atom_site_label
_atom_site_type_symbol
_atom_site_fract_x
_atom_site_fract_y
_atom_site_fract_z
Hg1 Hg 0.000 0.000 0.000
Cu1 Cu 0.250 0.750 0.500
Cu2 Cu 0.750 0.250 0.500
H1 H 0.302 0.302 0.604
H2 H 0.698 0.698 0.396
```

LiCuH2I | GGA-PBEsol | optimized geometry

The final energy is -2.9473 eV/atom. For the spin magnetization, the calculation gives 0.000 μB/atom. The space-group type is No. 123.

Cell and atoms, written as CIF:
```
data_LiCuH2I
_cell_length_a 3.646
_cell_length_b 3.646
_cell_length_c 5.535
_cell_angle_alpha 90.00
_cell_angle_beta 90.00
_cell_angle_gamma 90.00
_space_group_name_H-M_alt 'P 1'
_space_group_IT_number 1
loop_
_space_group_symop_operation_xyz
'x,y,z'
loop_
_atom_site_label
_atom_site_type_symbol
_atom_site_fract_x
_atom_site_fract_y
_atom_site_fract_z
H1 H 0.000 0.500 0.000
H2 H 0.500 0.000 0.000
Cu1 Cu 0.000 0.000 0.000
I1 I 0.000 0.000 0.500
Li1 Li 0.500 0.500 0.500
```

CuH12I4N4 | GGA-PBEsol | optimized geometry

The final energy is -4.4328 eV/atom. For the spin magnetization, the calculation gives 0.048 μB/atom. The space-group type is No. 12.

Cell and atoms, written as CIF:
```
data_CuH12I4N4
_cell_length_a 6.468
_cell_length_b 7.361
_cell_length_c 7.361
_cell_angle_alpha 108.47
_cell_angle_beta 108.05
_cell_angle_gamma 71.95
_space_group_name_H-M_alt 'P 1'
_space_group_IT_number 1
loop_
_space_group_symop_operation_xyz
'x,y,z'
loop_
_atom_site_label
_atom_site_type_symbol
_atom_site_fract_x
_atom_site_fract_y
_atom_site_fract_z
H1 H 0.778 0.789 0.722
H2 H 0.621 0.505 0.239
H3 H 0.778 0.278 0.211
H4 H 0.621 0.761 0.495
H5 H 0.222 0.722 0.789
H6 H 0.173 0.124 0.439
H7 H 0.222 0.211 0.278
H8 H 0.827 0.439 0.124
H9 H 0.173 0.561 0.876
H10 H 0.379 0.495 0.761
H11 H 0.827 0.876 0.561
H12 H 0.379 0.239 0.505
I1 I 0.720 0.908 0.092
I2 I 0.214 0.701 0.299
I3 I 0.786 0.299 0.701
I4 I 0.280 0.092 0.908
N1 N 0.784 0.424 0.241
N2 N 0.216 0.241 0.424
N3 N 0.784 0.759 0.576
N4 N 0.216 0.576 0.759
Cu1 Cu 0.000 0.500 0.500
```

CuH36S8I2N9O12 | GGA-PBEsol | optimized geometry

The final energy is -5.1393 eV/atom. For the spin magnetization, the calculation gives 0.000 μB/atom. The space-group type is No. 122.

Cell and atoms, written as CIF:
```
data_CuH36S8I2N9O12
_cell_length_a 12.289
_cell_length_b 12.289
_cell_length_c 12.289
_cell_angle_alpha 97.35
_cell_angle_beta 115.85
_cell_angle_gamma 115.85
_space_group_name_H-M_alt 'P 1'
_space_group_IT_number 1
loop_
_space_group_symop_operation_xyz
'x,y,z'
loop_
_atom_site_label
_atom_site_type_symbol
_atom_site_fract_x
_atom_site_fract_y
_atom_site_fract_z
H1 H 0.241 0.914 0.183
H2 H 0.573 0.222 0.777
H3 H 0.954 0.942 0.435
H4 H 0.395 0.955 0.891
H5 H 0.707 0.937 0.014
H6 H 0.556 0.352 0.778
H7 H 0.105 0.310 0.746
H8 H 0.913 0.236 0.263
H9 H 0.475 0.911 0.499
H10 H 0.493 0.012 0.058
H11 H 0.936 0.440 0.045
H12 H 0.293 0.308 0.230
H13 H 0.866 0.349 0.890
H14 H 0.993 0.808 0.262
H15 H 0.793 0.980 0.558
H16 H 0.027 0.677 0.764
H17 H 0.927 0.398 0.454
H18 H 0.041 0.401 0.767
H19 H 0.587 0.073 0.600
H20 H 0.413 0.013 0.486
H21 H 0.574 0.067 0.975
H22 H 0.741 0.933 0.164
H23 H 0.088 0.839 0.813
H24 H 0.578 0.813 0.020
H25 H 0.259 0.423 0.192
H26 H 0.769 0.836 0.577
H27 H 0.588 0.563 0.089
H28 H 0.975 0.249 0.161
H29 H 0.207 0.764 0.187
H30 H 0.592 0.349 0.275
H31 H 0.908 0.507 0.933
H32 H 0.634 0.233 0.274
H33 H 0.056 0.528 0.602
H34 H 0.895 0.641 0.205
H35 H 0.731 0.817 0.058
H36 H 0.546 0.738 0.731
H37 H 0.087 0.350 0.323
H38 H 0.436 0.795 0.690
H39 H 0.134 0.024 0.483
H40 H 0.926 0.243 0.651
H41 H 0.959 0.726 0.360
H42 H 0.408 0.683 0.757
H43 H 0.564 0.254 0.359
H44 H 0.412 0.501 0.976
H45 H 0.007 0.269 0.815
H46 H 0.444 0.223 0.796
H47 H 0.231 0.808 0.067
H48 H 0.046 0.481 0.988
H49 H 0.092 0.025 0.599
H50 H 0.973 0.737 0.650
H51 H 0.473 0.400 0.987
H52 H 0.078 0.770 0.063
H53 H 0.541 0.517 0.651
H54 H 0.459 0.110 0.976
H55 H 0.605 0.496 0.560
H56 H 0.422 0.442 0.236
H57 H 0.064 0.109 0.504
H58 H 0.074 0.725 0.317
H59 H 0.527 0.514 0.927
H60 H 0.944 0.546 0.473
H61 H 0.922 0.986 0.692
H62 H 0.912 0.726 0.751
H63 H 0.427 0.204 0.648
H64 H 0.454 0.185 0.192
H65 H 0.269 0.327 0.086
H66 H 0.073 0.527 0.472
H67 H 0.025 0.187 0.274
H68 H 0.759 0.942 0.673
H69 H 0.525 0.024 0.437
H70 H 0.426 0.401 0.493
H71 H 0.507 0.565 0.519
H72 H 0.366 0.640 0.599
N1 N 0.482 0.038 0.978
N2 N 0.060 0.022 0.504
N3 N 0.000 0.745 0.745
N4 N 0.190 0.815 0.125
N5 N 0.000 0.500 0.500
N6 N 0.982 0.728 0.288
N7 N 0.500 0.250 0.750
N8 N 0.000 0.255 0.255
N9 N 0.560 0.254 0.272
N10 N 0.690 0.875 0.065
N11 N 0.810 0.935 0.625
N12 N 0.500 0.005 0.505
N13 N 0.518 0.496 0.556
N14 N 0.018 0.306 0.746
N15 N 0.440 0.712 0.694
N16 N 0.500 0.495 0.995
N17 N 0.310 0.375 0.185
N18 N 0.940 0.444 0.962
O1 O 0.107 0.060 0.750
O2 O 0.725 0.679 0.516
O3 O 0.893 0.643 0.953
O4 O 0.288 0.094 0.465
O5 O 0.871 0.656 0.444
O6 O 0.275 0.791 0.955
O7 O 0.190 0.690 0.297
O8 O 0.225 0.266 0.929
O9 O 0.712 0.177 0.806
O10 O 0.371 0.194 0.906
O11 O 0.393 0.703 0.893
O12 O 0.810 0.107 0.500
O13 O 0.336 0.071 0.295
O14 O 0.690 0.047 0.940
O15 O 0.310 0.250 0.357
O16 O 0.212 0.556 0.427
O17 O 0.664 0.959 0.734
O18 O 0.129 0.573 0.785
O19 O 0.775 0.705 0.041
O20 O 0.629 0.535 0.823
O21 O 0.164 0.484 0.209
O22 O 0.788 0.215 0.344
O23 O 0.607 0.500 0.310
O24 O 0.836 0.045 0.321
S1 S 0.544 0.953 0.246
S2 S 0.761 0.090 0.362
S3 S 0.793 0.797 0.842
S4 S 0.261 0.112 0.340
S5 S 0.772 0.660 0.921
S6 S 0.207 0.049 0.004
S7 S 0.239 0.601 0.329
S8 S 0.272 0.671 0.910
S9 S 0.228 0.149 0.888
S10 S 0.739 0.079 0.851
S11 S 0.044 0.996 0.203
S12 S 0.456 0.701 0.408
S13 S 0.956 0.158 0.951
S14 S 0.293 0.592 0.047
S15 S 0.728 0.638 0.399
S16 S 0.707 0.754 0.299
I1 I 0.264 0.875 0.639
I2 I 0.236 0.361 0.625
I3 I 0.764 0.389 0.125
I4 I 0.736 0.375 0.611
Cu1 Cu 0.000 0.000 0.000
Cu2 Cu 0.500 0.750 0.250
```

CuH16I2O16 | GGA-PBEsol | optimized geometry

The final energy is -4.9212 eV/atom. For the spin magnetization, the calculation gives 0.028 μB/atom. The space-group type is No. 14.

Cell and atoms, written as CIF:
```
data_CuH16I2O16
_cell_length_a 5.442
_cell_length_b 10.791
_cell_length_c 10.840
_cell_angle_alpha 108.64
_cell_angle_beta 90.00
_cell_angle_gamma 90.00
_space_group_name_H-M_alt 'P 1'
_space_group_IT_number 1
loop_
_space_group_symop_operation_xyz
'x,y,z'
loop_
_atom_site_label
_atom_site_type_symbol
_atom_site_fract_x
_atom_site_fract_y
_atom_site_fract_z
H1 H 0.258 0.809 0.530
H2 H 0.161 0.478 0.174
H3 H 0.046 0.867 0.382
H4 H 0.598 0.926 0.716
H5 H 0.926 0.243 0.103
H6 H 0.390 0.921 0.266
H7 H 0.242 0.809 0.030
H8 H 0.954 0.133 0.618
H9 H 0.809 0.785 0.324
H10 H 0.742 0.191 0.470
H11 H 0.110 0.921 0.766
H12 H 0.441 0.375 0.394
H13 H 0.902 0.926 0.216
H14 H 0.691 0.785 0.824
H15 H 0.402 0.074 0.284
H16 H 0.661 0.522 0.326
H17 H 0.454 0.867 0.882
H18 H 0.559 0.625 0.606
H19 H 0.574 0.243 0.603
H20 H 0.941 0.625 0.106
H21 H 0.839 0.522 0.826
H22 H 0.758 0.191 0.970
H23 H 0.339 0.478 0.674
H24 H 0.546 0.133 0.118
H25 H 0.426 0.757 0.397
H26 H 0.059 0.375 0.894
H27 H 0.610 0.079 0.734
H28 H 0.309 0.215 0.176
H29 H 0.191 0.215 0.676
H30 H 0.074 0.757 0.897
H31 H 0.890 0.079 0.234
H32 H 0.098 0.074 0.784
O1 O 0.120 0.126 0.655
O2 O 0.880 0.991 0.166
O3 O 0.829 0.432 0.841
O4 O 0.400 0.354 0.711
O5 O 0.100 0.354 0.211
O6 O 0.304 0.330 0.428
O7 O 0.134 0.782 0.643
O8 O 0.380 0.009 0.334
O9 O 0.634 0.218 0.857
O10 O 0.097 0.564 0.434
O11 O 0.329 0.568 0.659
O12 O 0.620 0.991 0.666
O13 O 0.600 0.646 0.289
O14 O 0.171 0.568 0.159
O15 O 0.366 0.782 0.143
O16 O 0.827 0.166 0.047
O17 O 0.696 0.670 0.572
O18 O 0.673 0.166 0.547
O19 O 0.620 0.874 0.845
O20 O 0.671 0.432 0.341
O21 O 0.880 0.874 0.345
O22 O 0.903 0.436 0.566
O23 O 0.804 0.670 0.072
O24 O 0.173 0.834 0.953
O25 O 0.900 0.646 0.789
O26 O 0.380 0.126 0.155
O27 O 0.866 0.218 0.357
O28 O 0.120 0.009 0.834
O29 O 0.196 0.330 0.928
O30 O 0.597 0.436 0.066
O31 O 0.327 0.834 0.453
O32 O 0.403 0.564 0.934
I1 I 0.007 0.622 0.622
I2 I 0.993 0.378 0.378
I3 I 0.493 0.622 0.122
I4 I 0.507 0.378 0.878
Cu1 Cu 0.500 0.000 0.500
Cu2 Cu 0.000 0.000 0.000
```